No. 1
## Sm4Zn3Os (PBE)

Data for a relaxed Sm4Zn3Os crystal.

Geometry as CIF:
```
data_Sm4Zn3Os
_chemical_formula_sum 'Sm4 Zn3 Os1'
_symmetry_space_group_name_H-M 'P 1'
_symmetry_Int_Tables_number 1
_cell_length_a 3.558
_cell_length_b 3.558
_cell_length_c 14.844
_cell_angle_alpha 90.00
_cell_angle_beta 90.00
_cell_angle_gamma 90.00
loop_
_symmetry_equiv_pos_as_xyz
'x,y,z'
loop_
_atom_site_label
_atom_site_type_symbol
_atom_site_fract_x
_atom_site_fract_y
_atom_site_fract_z
Sm1 Sm 0.000 0.000 0.113
Sm2 Sm 0.000 0.000 0.375
Sm3 Sm 0.000 0.000 0.625
Sm4 Sm 0.000 0.000 0.887
Zn1 Zn 0.500 0.500 0.251
Zn2 Zn 0.500 0.500 0.500
Zn3 Zn 0.500 0.500 0.749
Os1 Os 0.500 0.500 0.000
```

Uncorrected energy   -4.49 eV per atom
Size of the total moment   0.00 μB/atom
ΔH_f (0 K)   -245 meV per atom
N(E_F)   0.826 states/eV per atom

***

No. 2
## Sm7Zn2Os2 (PBE)

Data for a relaxed Sm7Zn2Os2 crystal.

Geometry as CIF:
```
data_Sm7Zn2Os2
_chemical_formula_sum 'Sm7 Zn2 Os2'
_symmetry_space_group_name_H-M 'P 1'
_symmetry_Int_Tables_number 1
_cell_length_a 6.795
_cell_length_b 6.795
_cell_length_c 7.197
_cell_angle_alpha 90.00
_cell_angle_beta 90.00
_cell_angle_gamma 108.75
loop_
_symmetry_equiv_pos_as_xyz
'x,y,z'
loop_
_atom_site_label
_atom_site_type_symbol
_atom_site_fract_x
_atom_site_fract_y
_atom_site_fract_z
Sm1 Sm 0.000 0.000 0.000
Sm2 Sm 0.000 0.500 0.260
Sm3 Sm 0.000 0.500 0.740
Sm4 Sm 0.500 0.000 0.260
Sm5 Sm 0.500 0.000 0.740
Sm6 Sm 0.500 0.500 0.250
Sm7 Sm 0.500 0.500 0.750
Zn1 Zn 0.163 0.163 0.500
Zn2 Zn 0.837 0.837 0.500
Os1 Os 0.298 0.702 0.000
Os2 Os 0.702 0.298 0.000
```

Uncorrected energy   -5.34 eV per atom
Size of the total moment   0.00 μB/atom
ΔH_f (0 K)   -67 meV per atom
N(E_F)   0.967 states/eV per atom